The following is a PBE calculation of crystalline HgS2NF at its relaxed geometry, from Alexandria via LeMat-Bulk.

SG: No. 123
V, A^3/atom: 18.011
Crystal system: tetragonal
Spin magnetization, Bohr magnetons per cell: 2.7
Raw formation energy, eV per atom: 1.433
Distance to the lowest polymorph of the same formula, kJ/mol of atoms: 0.0

Lattice parameters (Å, degrees): 4.293 4.293 4.887 90.00 90.00 90.00
Site moments in Bohr magnetons follow the coordinates.
Positions (direct):
S1 0.000 0.500 0.000  0.08
S2 0.500 0.000 0.000  0.08
N1 0.000 0.000 0.500  1.71
Hg1 0.500 0.500 0.500  -0.06
F1 0.000 0.000 0.000  0.04



The following is a PBE calculation of crystalline HgSNF2 at its relaxed geometry, from Alexandria via LeMat-Bulk.

SG: No. 123
V, A^3/atom: 14.822
Crystal system: tetragonal
Spin magnetization, Bohr magnetons per cell: 0.0
Raw formation energy, eV per atom: 0.022
Distance to the lowest polymorph of the same formula, kJ/mol of atoms: 0.0

Lattice parameters (Å, degrees): 4.748 4.748 3.287 90.00 90.00 90.00
Positions (direct):
S1 0.000 0.000 0.000
N1 0.000 0.000 0.500
Hg1 0.500 0.500 0.500
F1 0.000 0.500 0.000
F2 0.500 0.000 0.000



The following is a PBE calculation of crystalline HgSbNF2 at its relaxed geometry, from Alexandria via LeMat-Bulk.

SG: No. 123
V, A^3/atom: 17.069
Crystal system: tetragonal
Spin magnetization, Bohr magnetons per cell: 0.1
Raw formation energy, eV per atom: 0.191
Distance to the lowest polymorph of the same formula, kJ/mol of atoms: 68.3

Lattice parameters (Å, degrees): 4.438 4.438 4.333 90.00 90.00 90.00
Positions (direct):
Sb1 0.500 0.500 0.500
N1 0.000 0.000 0.500
Hg1 0.000 0.000 0.000
F1 0.000 0.500 0.000
F2 0.500 0.000 0.000



The following is a PBE calculation of crystalline HgSbN2F at its relaxed geometry, from Alexandria via LeMat-Bulk.

SG: No. 123
V, A^3/atom: 15.732
Crystal system: tetragonal
Spin magnetization, Bohr magnetons per cell: 0.2
Raw formation energy, eV per atom: 1.238
Distance to the lowest polymorph of the same formula, kJ/mol of atoms: 69.8

Lattice parameters (Å, degrees): 4.228 4.228 4.401 90.00 90.00 90.00
Site moments in Bohr magnetons follow the coordinates.
Positions (direct):
Sb1 0.500 0.500 0.500  -0.05
N1 0.000 0.500 0.000  0.12
N2 0.500 0.000 0.000  0.12
Hg1 0.000 0.000 0.000  0.00
F1 0.000 0.000 0.500  0.00



The following is a PBE calculation of crystalline HgSbN2F at its relaxed geometry, from Alexandria via LeMat-Bulk.

SG: No. 123
V, A^3/atom: 14.338
Crystal system: tetragonal
Spin magnetization, Bohr magnetons per cell: 0.0
Raw formation energy, eV per atom: 0.514
Distance to the lowest polymorph of the same formula, kJ/mol of atoms: 0.0

Lattice parameters (Å, degrees): 4.136 4.136 4.192 90.00 90.00 90.00
Positions (direct):
Sb1 0.000 0.000 0.000
N1 0.000 0.500 0.000
N2 0.500 0.000 0.000
Hg1 0.500 0.500 0.500
F1 0.000 0.000 0.500



The following is a PBE calculation of crystalline HgSbNF2 at its relaxed geometry, from Alexandria via LeMat-Bulk.

SG: No. 123
V, A^3/atom: 16.503
Crystal system: tetragonal
Spin magnetization, Bohr magnetons per cell: 0.0
Raw formation energy, eV per atom: -0.517
Distance to the lowest polymorph of the same formula, kJ/mol of atoms: 0.0

Lattice parameters (Å, degrees): 4.446 4.446 4.174 90.00 90.00 90.00
Positions (direct):
Sb1 0.000 0.000 0.000
N1 0.000 0.000 0.500
Hg1 0.500 0.500 0.500
F1 0.000 0.500 0.000
F2 0.500 0.000 0.000



The following is a PBE calculation of crystalline ScHgNF2 at its relaxed geometry, from Alexandria via LeMat-Bulk.

SG: No. 123
V, A^3/atom: 14.713
Crystal system: tetragonal
Spin magnetization, Bohr magnetons per cell: 0.0
Raw formation energy, eV per atom: -1.678
Distance to the lowest polymorph of the same formula, kJ/mol of atoms: 0.0

Lattice parameters (Å, degrees): 4.015 4.015 4.564 90.00 90.00 90.00
Positions (direct):
Sc1 0.000 0.000 0.000
N1 0.000 0.000 0.500
Hg1 0.500 0.500 0.500
F1 0.000 0.500 0.000
F2 0.500 0.000 0.000



The following is a PBE calculation of crystalline ScHgNF2 at its relaxed geometry, from Alexandria via LeMat-Bulk.

SG: No. 123
V, A^3/atom: 16.632
Crystal system: tetragonal
Spin magnetization, Bohr magnetons per cell: 0.3
Raw formation energy, eV per atom: -0.352
Distance to the lowest polymorph of the same formula, kJ/mol of atoms: 127.9

Lattice parameters (Å, degrees): 4.428 4.428 4.242 90.00 90.00 90.00
Site moments in Bohr magnetons follow the coordinates.
Positions (direct):
Sc1 0.500 0.500 0.500  0.38
N1 0.000 0.000 0.500  -0.10
Hg1 0.000 0.000 0.000  -0.01
F1 0.000 0.500 0.000  0.00
F2 0.500 0.000 0.000  0.00



The following is a PBE calculation of crystalline HgSeN2F at its relaxed geometry, from Alexandria via LeMat-Bulk.

SG: No. 123
V, A^3/atom: 21.778
Crystal system: tetragonal
Spin magnetization, Bohr magnetons per cell: 6.3
Raw formation energy, eV per atom: 1.855
Distance to the lowest polymorph of the same formula, kJ/mol of atoms: 79.1

Lattice parameters (Å, degrees): 4.312 4.312 5.857 90.00 90.00 90.00
Site moments in Bohr magnetons follow the coordinates.
Positions (direct):
N1 0.000 0.500 0.000  1.31
N2 0.500 0.000 0.000  1.31
Hg1 0.000 0.000 0.000  0.15
Se1 0.000 0.000 0.500  1.19
F1 0.500 0.500 0.500  0.41



The following is a PBE calculation of crystalline HgSeN2F at its relaxed geometry, from Alexandria via LeMat-Bulk.

SG: No. 123
V, A^3/atom: 18.540
Crystal system: tetragonal
Spin magnetization, Bohr magnetons per cell: 5.2
Raw formation energy, eV per atom: 1.937
Distance to the lowest polymorph of the same formula, kJ/mol of atoms: 87.0

Lattice parameters (Å, degrees): 4.779 4.779 4.059 90.00 90.00 90.00
Site moments in Bohr magnetons follow the coordinates.
Positions (direct):
N1 0.000 0.500 0.000  1.72
N2 0.500 0.000 0.000  1.72
Hg1 0.500 0.500 0.500  -0.02
Se1 0.000 0.000 0.500  0.06
F1 0.000 0.000 0.000  0.14



The following is a PBE calculation of crystalline HgSe2NF at its relaxed geometry, from Alexandria via LeMat-Bulk.

SG: No. 123
V, A^3/atom: 20.002
Crystal system: tetragonal
Spin magnetization, Bohr magnetons per cell: 2.8
Raw formation energy, eV per atom: 1.144
Distance to the lowest polymorph of the same formula, kJ/mol of atoms: 0.0

Lattice parameters (Å, degrees): 4.547 4.547 4.838 90.00 90.00 90.00
Site moments in Bohr magnetons follow the coordinates.
Positions (direct):
N1 0.000 0.000 0.500  1.77
Hg1 0.500 0.500 0.500  -0.01
Se1 0.000 0.500 0.000  0.07
Se2 0.500 0.000 0.000  0.07
F1 0.000 0.000 0.000  0.05



The following is a PBE calculation of crystalline HgSeN2F at its relaxed geometry, from Alexandria via LeMat-Bulk.

SG: No. 123
V, A^3/atom: 17.159
Crystal system: tetragonal
Spin magnetization, Bohr magnetons per cell: 2.0
Raw formation energy, eV per atom: 1.682
Distance to the lowest polymorph of the same formula, kJ/mol of atoms: 62.4

Lattice parameters (Å, degrees): 4.375 4.375 4.483 90.00 90.00 90.00
Site moments in Bohr magnetons follow the coordinates.
Positions (direct):
N1 0.000 0.500 0.000  1.02
N2 0.500 0.000 0.000  1.02
Hg1 0.000 0.000 0.000  0.13
Se1 0.500 0.500 0.500  -0.66
F1 0.000 0.000 0.500  -0.05